A geometry-optimized Ti3Ga4Rh structure, computed with GGA-PBE.

Lattice parameters (Å, degrees): 9.182 5.254 5.314 90.00 90.00 90.00
Space group Pmn2_1 (No. 31)
Unique sites:
Ti  0.000  0.095  0.000 [2 per cell]
Ti  0.241  0.636  0.839 [4 per cell]
Ga  0.000  0.146  0.508 [2 per cell]
Ga  0.000  0.575  0.135 [2 per cell]
Ga  0.214  0.863  0.335 [4 per cell]
Rh  0.000  0.638  0.632 [2 per cell]

Computed properties:
M_tot	0.000	μB/atom
total energy	-92.929	eV per cell